[1]
Below is crystalline BaTbHgAu at its relaxed geometry, with properties calculated at the PBE-GGA level.

Geometry as extended XYZ:
```
4
Lattice="-5.220 1.677 -0.500 -2.583 -0.446 -4.842 -4.030 -3.696 -0.640" Properties=species:S:1:pos:R:3 pbc="T T T"
Tb -8.874 -1.849 -4.486
Au 0.000 0.000 0.000
Hg -5.916 -1.232 -2.991
Ba -2.958 -0.616 -1.495
```

Summary:
The total magnetic moment is 0.000 μB per formula unit. The calculation puts the electronic total energy at -2.9879 eV per atom. The calculation puts the volume at 29.501 Å³ per atom.

[2]
Below is crystalline BePbO at its relaxed geometry, with properties calculated at the PBE-GGA level.

Geometry as extended XYZ:
```
6
Lattice="4.647 -0.721 0.788 0.942 4.607 0.788 1.702 1.183 6.060" Properties=species:S:1:pos:R:3 pbc="T T T"
Be 5.897 4.101 5.304
Be 1.393 0.969 2.331
Pb 3.759 0.556 0.788
Pb 1.830 3.330 0.788
O 5.713 3.972 3.782
O 1.578 1.097 3.854
```

Summary:
Its formation energy (no corrections) is -0.81 eV/atom. The total magnetic moment is 0.000 μB per formula unit. The calculation puts the electronic total energy at -4.9453 eV per atom. The calculation puts the volume at 20.540 Å³ per atom.

Q: volume of number 1 (BaTbHgAu)?
A: 29.501 Å³ per atom

Q: What is the electronic total energy in the second record?
A: -4.9453 eV per atom

Q: What is the total magnetic moment in the first record?
A: 0.000 μB per formula unit